# Pr2Tl3Pb3

Pr2Tl3Pb3 after structural relaxation (PBE, the Alexandria database).

Cell lengths 4.827, 4.955, 9.827 Å; angles 90.00, 90.00, 90.00 degrees
Space group Pmmm (No. 47)
Asymmetric unit:
Pr (0.000, 0.000, 0.250) (multiplicity 2)
Tl (0.000, 0.500, 0.000) (multiplicity 1)
Tl (0.500, 0.500, 0.247) (multiplicity 2)
Pb (0.000, 0.500, 0.500) (multiplicity 1)
Pb (0.500, 0.000, 0.000) (multiplicity 1)
Pb (0.500, 0.000, 0.500) (multiplicity 1)

Calculated values
ΔH_f (0 K)	-0.35	eV per atom
raw total energy	-30.6	eV per cell
crystal system	orthorhombic

# CsSn2Pb9

CsSn2Pb9 after structural relaxation (PBE, the Alexandria database).

Cell lengths 11.4445, 11.4445, 3.4655 Å; angles 90.00, 90.00, 120.00 degrees
Space group P6/mmm (No. 191)
Asymmetric unit:
Cs (0.0000, 0.0000, 0.0000) (multiplicity 1)
Sn (0.3333, 0.6667, 0.0000) (multiplicity 2)
Pb (0.0000, 0.5000, 0.0000) (multiplicity 3)
Pb (0.1854, 0.3709, 0.5000) (multiplicity 6)

Calculated values
ΔH_f (0 K)	0.02	eV per atom
raw total energy	-41.9	eV per cell
crystal system	hexagonal

# LiLaTmMg

LiLaTmMg after structural relaxation (PBE, the Alexandria database).

Cell lengths 7.668, 7.668, 7.668 Å; angles 90.00, 90.00, 90.00 degrees
Space group F-43m (No. 216)
Asymmetric unit:
Li (0.000, 0.000, 0.000) (multiplicity 4)
La (0.250, 0.250, 0.750) (multiplicity 4)
Tm (0.250, 0.250, 0.250) (multiplicity 4)
Mg (0.000, 0.000, 0.500) (multiplicity 4)

Calculated values
ΔH_f (0 K)	0.04	eV per atom
raw total energy	-51.1	eV per cell
crystal system	cubic

# TiV6Tc2

TiV6Tc2 after structural relaxation (PBE, the Alexandria database).

Cell lengths 9.696, 3.014, 9.131 Å; angles 90.00, 109.97, 90.00 degrees
Space group C2/m (No. 12)
Asymmetric unit:
Ti (0.000, 0.000, 0.000) (multiplicity 2)
V (0.003, 0.000, 0.333) (multiplicity 4)
V (0.166, 0.500, 0.558) (multiplicity 4)
V (0.174, 0.500, 0.885) (multiplicity 4)
Tc (0.168, 0.500, 0.228) (multiplicity 4)

Calculated values
ΔH_f (0 K)	-0.23	eV per atom
raw total energy	-170.9	eV per cell
crystal system	monoclinic

# YVH3

YVH3 after structural relaxation (PBE, the Alexandria database).

Cell lengths 3.619, 3.619, 3.619 Å; angles 90.00, 90.00, 90.00 degrees
Space group Pm-3m (No. 221)
Asymmetric unit:
Y (0.000, 0.000, 0.000) (multiplicity 1)
V (0.500, 0.500, 0.500) (multiplicity 1)
H (0.000, 0.500, 0.500) (multiplicity 3)

Calculated values
raw total energy	-27.3	eV per cell
crystal system	cubic

# PHOsO

PHOsO after structural relaxation (PBE, the Alexandria database).

Cell lengths 2.795, 3.023, 5.976 Å; angles 90.00, 91.17, 90.00 degrees
Space group Pm (No. 6)
Asymmetric unit:
P (0.000, 0.000, 0.000) (multiplicity 1)
H (0.513, 0.000, 0.147) (multiplicity 1)
Os (0.965, 0.500, 0.714) (multiplicity 1)
O (0.456, 0.500, 0.484) (multiplicity 1)

Calculated values
raw total energy	-25.1	eV per cell
crystal system	monoclinic

no.,DOS(E_F) (states/eV/atom)
1,0.616
2,0.763
3,1.524
4,1.188
5,0.520
6,0.492